Entry a
# PmInSi

Crystalline PmInSi at its relaxed geometry (GGA-PBE, the Alexandria database).

Lattice parameters (Å, degrees): 5.010 5.010 6.249 90.00 90.00 105.79
Element x y z (fractional)
Pm: 0.180 0.820 0.750
Pm: 0.820 0.180 0.250
In: 0.210 0.790 0.250
In: 0.790 0.210 0.750
Si: 0.500 0.500 0.000
Si: 0.500 0.500 0.500

Properties
space-group type = Cmcm
calculated density = 6.3 Mg/m³


Entry b
# PmInSi

Crystalline PmInSi at its relaxed geometry (GGA-PBE, the Alexandria database).

Lattice parameters (Å, degrees): 4.231 3.838 9.274 90.00 103.17 90.00
Element x y z (fractional)
Pm: 0.091 0.250 0.183
Pm: 0.909 0.750 0.817
In: 0.288 0.250 0.576
In: 0.712 0.750 0.424
Si: 0.460 0.250 0.920
Si: 0.540 0.750 0.080

Properties
space-group type = P2_1/m
calculated density = 6.5 Mg/m³


Entry c
# PmInSi

Crystalline PmInSi at its relaxed geometry (GGA-PBE, the Alexandria database).

Lattice parameters (Å, degrees): 4.347 4.347 4.515 90.00 90.00 120.00
Element x y z (fractional)
Pm: 0.000 0.000 0.000
In: 0.667 0.333 0.560
Si: 0.333 0.667 0.371

Properties
space-group type = P3m1
calculated density = 6.5 Mg/m³


Q: What are the energies relative to the best structure? A: entry a 35.1; entry b 0.0; entry c 8.5, in kJ/mol of atoms.


Entry a
# Pm4Sm3In2

Crystalline Pm4Sm3In2 at its relaxed geometry (GGA-PBE, the Alexandria database).

Lattice parameters (Å, degrees): 6.116 6.116 10.645 107.21 107.21 46.78
Element x y z (fractional)
Pm: 0.008 0.008 0.175
Pm: 0.330 0.330 0.611
Pm: 0.670 0.670 0.389
Pm: 0.992 0.992 0.825
Sm: 0.000 0.000 0.500
Sm: 0.328 0.328 0.946
Sm: 0.672 0.672 0.054
In: 0.338 0.338 0.282
In: 0.662 0.662 0.718

Properties
space-group type = C2/m
calculated density = 7.6 Mg/m³


Entry b
# Pm4Sm3In2

Crystalline Pm4Sm3In2 at its relaxed geometry (GGA-PBE, the Alexandria database).

Lattice parameters (Å, degrees): 5.425 6.908 8.640 103.65 90.05 113.11
Element x y z (fractional)
Pm: 0.120 0.241 0.156
Pm: 0.331 0.661 0.537
Pm: 0.669 0.339 0.463
Pm: 0.880 0.759 0.844
Sm: 0.000 0.000 0.500
Sm: 0.423 0.845 0.150
Sm: 0.577 0.155 0.850
In: 0.210 0.420 0.818
In: 0.790 0.580 0.182

Properties
space-group type = P-1
calculated density = 7.3 Mg/m³


Q: What are the energies relative to the best structure? A: entry a 0.0; entry b 2.3, in kJ/mol of atoms.